Computed, not measured: MoClO after structural relaxation at the GGA+U level of DFT.

Cell: 3.5650 3.5650 10.0881 Å, 90.00 90.00 120.00°
Last column: nearest neighbours and their distance in Å.
Fractional positions:
Mo: 0.3333 0.6667 0.4007  4 O 2.07-2.23, 1 Cl 2.32
Mo: 0.6667 0.3333 0.5993  4 O 2.07-2.23, 1 Cl 2.32
Cl: 0.6667 0.3333 0.8289  1 Mo 2.32
Cl: 0.3333 0.6667 0.1711  1 Mo 2.32
O: 0.3333 0.6667 0.6215  4 Mo 2.07-2.23
O: 0.6667 0.3333 0.3785  4 Mo 2.07-2.23

## Properties
**Mass density**: 4.41 g/cm³
**VASP energy**: -5.04 eV per atom